# BePb2W

A relaxed structure of BePb2W (GGA-PBE, the Alexandria database).

a b c (Å): 3.1438 3.1438 8.6703
angles (deg): 90.00 90.00 106.52
Atoms (fractional coordinates):
Be 0.5000 0.5000 0.7500
Pb 0.0000 0.0000 0.5143
Pb 0.0000 0.0000 0.9857
W 0.5000 0.5000 0.2500

Properties
Energy of formation, eV per formula unit: 4.427
Raw total energy, eV per atom: -4.92
Fermi-level density of states, states/eV/cell: 2.8

# Te2IO

A relaxed structure of Te2IO (GGA-PBE, the Alexandria database).

a b c (Å): 8.3225 5.9227 10.3974
angles (deg): 90.00 105.35 90.00
Atoms (fractional coordinates):
I 0.6322 0.1698 0.1916
I 0.3678 0.8302 0.8084
Te 0.1079 0.8160 0.4857
Te 0.0402 0.2581 0.7980
Te 0.9598 0.7419 0.2020
O 0.2521 0.8966 0.1915
O 0.7521 0.6034 0.1915
O 0.2479 0.3966 0.8085
Te 0.8921 0.1840 0.5143
Te 0.3921 0.3160 0.5143
I 0.1322 0.3302 0.1916
I 0.8678 0.6698 0.8084
Te 0.5402 0.2419 0.7980
Te 0.4598 0.7581 0.2020
O 0.7479 0.1034 0.8085
Te 0.6079 0.6840 0.4857

Properties
Raw total energy, eV per atom: -3.38
Fermi-level density of states, states/eV/cell: 3.3
Energy above the lowest structure with this stoichiometry, eV per atom: 0.000
E_form (uncorrected), meV/atom: -183

# Y4Ge2Bi

A relaxed structure of Y4Ge2Bi (GGA-PBE, the Alexandria database).

a b c (Å): 8.1833 8.1833 8.1839
angles (deg): 109.73 109.75 108.93
Atoms (fractional coordinates):
Bi 0.2501 0.7501 0.5000
Y 0.8437 0.6624 0.1813
Ge 0.6250 0.3750 0.2500
Y 0.7690 0.0876 0.6813
Ge 0.6250 0.8750 0.2500
Y 0.9124 0.2310 0.3187
Y 0.4063 0.0876 0.3187
Bi 0.9998 0.9998 0.0000
Ge 0.6250 0.3750 0.7499
Ge 0.1250 0.3750 0.7500
Y 0.3376 0.5190 0.1813
Y 0.9123 0.5937 0.6813
Y 0.4810 0.6624 0.8187
Y 0.3377 0.1563 0.8187

Properties
Energy of formation, eV per formula unit: -4.794
Raw total energy, eV per atom: -6.25
Fermi-level density of states, states/eV/cell: 10.4

# EuNpGe2

A relaxed structure of EuNpGe2 (GGA-PBE, the Alexandria database).

a b c (Å): 5.1028 5.1028 5.1063
angles (deg): 60.02 60.02 60.00
Last column: magnetic moment on the atom in μB.
Atoms (fractional coordinates):
Eu 0.5000 0.5000 0.5000  -6.72
Ge 0.2499 0.2499 0.2502  -0.03
Ge 0.7501 0.7501 0.7498  -0.03
Np 0.0000 0.0000 0.0000  3.82

Properties
Energy of formation, eV per formula unit: -0.774
Raw total energy, eV per atom: -8.31
Fermi-level density of states, states/eV/cell: 8.2
Energy above the lowest structure with this stoichiometry, eV per atom: 0.129

# Zr3PtW

A relaxed structure of Zr3PtW (GGA-PBE, the Alexandria database).

a b c (Å): 4.9991 4.9991 4.9991
angles (deg): 90.00 90.00 90.00
Atoms (fractional coordinates):
Zr 0.0000 0.5000 0.0000
Zr 0.5000 0.0000 0.0000
W 0.0000 0.0000 0.0000
Zr 0.0000 0.0000 0.5000
Pt 0.5000 0.5000 0.5000

Properties
Energy of formation, eV per formula unit: 4.250
Raw total energy, eV per atom: -8.08
Fermi-level density of states, states/eV/cell: 7.4
Energy above the lowest structure with this stoichiometry, eV per atom: 0.000